A plane-wave DFT calculation with PBE was carried out for crystalline PrHf2N3 at its relaxed geometry.

```
data_PrHf2N3
_symmetry_space_group_name_H-M 'P -3 m 1'
_symmetry_Int_Tables_number 164
_symmetry_space_group_name_Hall '-P 3 2"'
_cell_length_a 3.2847
_cell_length_b 3.2847
_cell_length_c 8.4757
_cell_angle_alpha 90.00
_cell_angle_beta 90.00
_cell_angle_gamma 120.00
loop_
_atom_site_label
_atom_site_fract_x
_atom_site_fract_y
_atom_site_fract_z
Pr1 0.0000 0.0000 0.0000
Hf1 0.3333 0.6667 0.3402
N1 0.0000 0.0000 0.5000
N2 0.3333 0.6667 0.7871
```

A plane-wave DFT calculation with PBE was carried out for crystalline TbHo2Al2Cd3In at its relaxed geometry.

```
data_TbHo2Al2Cd3In
_symmetry_space_group_name_H-M 'A m m 2'
_symmetry_Int_Tables_number 38
_cell_length_a 4.5528
_cell_length_b 12.6765
_cell_length_c 7.3041
_cell_angle_alpha 90.00
_cell_angle_beta 90.00
_cell_angle_gamma 90.00
loop_
_symmetry_equiv_pos_as_xyz
'x,y,z'
'-x,-y,z'
'-x,y,z'
'x,-y,z'
'x,y+1/2,z+1/2'
'-x,-y+1/2,z+1/2'
'-x,y+1/2,z+1/2'
'x,-y+1/2,z+1/2'
loop_
_atom_site_label
_atom_site_fract_x
_atom_site_fract_y
_atom_site_fract_z
Tb1 0.0000 0.0000 0.0000
Ho1 0.0000 0.2184 0.3451
Al1 0.5000 0.1671 0.0634
Cd1 0.5000 0.0000 0.3081
Cd2 0.5000 0.1279 0.6912
In1 0.0000 0.0000 0.5626
```

A plane-wave DFT calculation with PBE was carried out for crystalline Rb2ZrRe4 at its relaxed geometry.

```
data_Rb2ZrRe4
_symmetry_space_group_name_H-M 'I 4/m m m'
_symmetry_Int_Tables_number 139
_symmetry_space_group_name_Hall '-I 4 2'
_cell_length_a 7.8989
_cell_length_b 7.8989
_cell_length_c 5.3683
_cell_angle_alpha 90.00
_cell_angle_beta 90.00
_cell_angle_gamma 90.00
loop_
_atom_site_label
_atom_site_fract_x
_atom_site_fract_y
_atom_site_fract_z
Rb1 0.0000 0.5000 0.2500
Zr1 0.0000 0.0000 0.0000
Re1 0.1482 0.1482 0.5000
```

A plane-wave DFT calculation with PBE was carried out for crystalline Hf3ZnPd2 at its relaxed geometry.

```
data_Hf3ZnPd2
_symmetry_space_group_name_H-M 'P 4 m m'
_symmetry_Int_Tables_number 99
_cell_length_a 3.2663
_cell_length_b 3.2663
_cell_length_c 10.2533
_cell_angle_alpha 90.00
_cell_angle_beta 90.00
_cell_angle_gamma 90.00
loop_
_symmetry_equiv_pos_as_xyz
'x,y,z'
'-y,x,z'
'-x,-y,z'
'y,-x,z'
'-x,y,z'
'y,x,z'
'x,-y,z'
'-y,-x,z'
loop_
_atom_site_label
_atom_site_fract_x
_atom_site_fract_y
_atom_site_fract_z
Hf1 0.0000 0.0000 0.0000
Hf2 0.0000 0.0000 0.3414
Hf3 0.5000 0.5000 0.5384
Zn1 0.5000 0.5000 0.8355
Pd1 0.0000 0.0000 0.7004
Pd2 0.5000 0.5000 0.1731
```

| no. | energy (eV per atom) |
| --- | --- |
| 1 | -9.930 |
| 2 | -3.362 |
| 3 | -7.202 |
| 4 | -7.421 |